Record 1
Compound: Cd2ReAu
Source: Alexandria
Functional: PBE-GGA
Structure: optimized geometry

## Properties
raw total energy: -4.039 eV per atom
M_tot: 0.0 μB/f.u.
energy above the lowest structure with this stoichiometry: 9.2 kJ/mol of formula units
energy of formation from the pure elements: 0.35 eV per atom
calculated volume: 219.3 Å³ per cell

CIF file:
```
data_Cd2ReAu
_chemical_formula_sum 'Cd6 Re3 Au3'
_space_group_name_H-M_alt 'R 3 m'
_space_group_IT_number 160
_space_group_name_Hall 'R 3 -2"'
_cell_length_a 2.9134
_cell_length_b 2.9134
_cell_length_c 29.8345
_cell_angle_alpha 90.00
_cell_angle_beta 90.00
_cell_angle_gamma 120.00
loop_
_atom_site_label
_atom_site_type_symbol
_atom_site_fract_x
_atom_site_fract_y
_atom_site_fract_z
Cd1 Cd 0.0000 0.0000 0.0000
Cd2 Cd 0.0000 0.0000 0.2411
Re1 Re 0.0000 0.0000 0.7468
Au1 Au 0.0000 0.0000 0.4897
```


Record 2
Compound: HfAuSO2
Source: Alexandria
Functional: PBE-GGA
Structure: optimized geometry

## Properties
formation energy (no corrections): 0.13 eV/atom
raw total energy: -5.328 eV per atom
M_tot: 0.0 μB/f.u.
calculated volume: 74.6 Å³ per cell

CIF file:
```
data_HfAuSO2
_chemical_formula_sum 'Hf1 Au1 S1 O2'
_space_group_name_H-M_alt 'P 4/m m m'
_space_group_IT_number 123
_space_group_name_Hall '-P 4 2'
_cell_length_a 3.932
_cell_length_b 3.932
_cell_length_c 4.826
_cell_angle_alpha 90.00
_cell_angle_beta 90.00
_cell_angle_gamma 90.00
loop_
_atom_site_label
_atom_site_type_symbol
_atom_site_fract_x
_atom_site_fract_y
_atom_site_fract_z
Hf1 Hf 0.000 0.000 0.000
Au1 Au 0.500 0.500 0.000
S1 S 0.500 0.500 0.500
O1 O 0.000 0.500 0.500
```


Record 3
Compound: PuGa2NiPt4
Source: Alexandria
Functional: PBE-GGA
Structure: optimized geometry

## Properties
raw total energy: -6.853 eV per atom
M_tot: 4.8 μB/f.u.
energy of formation from the pure elements: -0.56 eV per atom
calculated volume: 405.8 Å³ per cell

CIF file:
```
data_PuGa2NiPt4
_chemical_formula_sum 'Pu3 Ga6 Ni3 Pt12'
_space_group_name_H-M_alt 'R -3 m'
_space_group_IT_number 166
_space_group_name_Hall '-R 3 2"'
_cell_length_a 4.2924
_cell_length_b 4.2924
_cell_length_c 25.4333
_cell_angle_alpha 90.00
_cell_angle_beta 90.00
_cell_angle_gamma 120.00
loop_
_atom_site_label
_atom_site_type_symbol
_atom_site_fract_x
_atom_site_fract_y
_atom_site_fract_z
Pu1 Pu 0.0000 0.0000 0.0000
Ga1 Ga 0.0000 0.0000 0.2376
Ni1 Ni 0.0000 0.0000 0.5000
Pt1 Pt 0.0000 0.0000 0.1313
Pt2 Pt 0.0000 0.0000 0.3993
```


Record 4
Compound: Tb5GaCu2
Source: Alexandria
Functional: PBE-GGA
Structure: optimized geometry

## Properties
raw total energy: -4.551 eV per atom
M_tot: 0.0 μB/f.u.
energy of formation from the pure elements: -0.25 eV per atom
calculated volume: 785.6 Å³ per cell

CIF file:
```
data_Tb5GaCu2
_chemical_formula_sum 'Tb20 Ga4 Cu8'
_space_group_name_H-M_alt 'I 4/m c m'
_space_group_IT_number 140
_space_group_name_Hall '-I 4 2c'
_cell_length_a 7.807
_cell_length_b 7.807
_cell_length_c 12.888
_cell_angle_alpha 90.00
_cell_angle_beta 90.00
_cell_angle_gamma 90.00
loop_
_atom_site_label
_atom_site_type_symbol
_atom_site_fract_x
_atom_site_fract_y
_atom_site_fract_z
Tb1 Tb 0.000 0.000 0.000
Tb2 Tb 0.158 0.342 0.146
Ga1 Ga 0.000 0.000 0.250
Cu1 Cu 0.126 0.374 0.500
```